# La2P3PtRh4, relaxed, DFT PBE
# Formation energy from the elements ... -0.960 eV per atom
# E ... -7.11 eV per atom
data_La2P3PtRh4
_chemical_formula_sum 'La2 P3 Pt1 Rh4'
_symmetry_space_group_name_H-M 'P -4 m 2'
_symmetry_Int_Tables_number 115
_cell_length_a 4.031
_cell_length_b 4.031
_cell_length_c 10.865
_cell_angle_alpha 90.00
_cell_angle_beta 90.00
_cell_angle_gamma 90.00
loop_
_symmetry_equiv_pos_as_xyz
'x,y,z'
'y,-x,-z'
'-x,-y,z'
'-y,x,-z'
'-x,y,z'
'-y,-x,-z'
'x,-y,z'
'y,x,-z'
loop_
_atom_site_label
_atom_site_type_symbol
_atom_site_fract_x
_atom_site_fract_y
_atom_site_fract_z
La1 La 0.000 0.500 0.236
P1 P 0.000 0.000 0.000
P2 P 0.000 0.500 0.621
Pt1 Pt 0.500 0.500 0.000
Rh1 Rh 0.000 0.000 0.500
Rh2 Rh 0.000 0.500 0.829
Rh3 Rh 0.500 0.500 0.500